Record 1
Entry from the Alexandria database: crystalline YScSb2 at its relaxed geometry (GGA-PBEsol).

a = 3.4587 Å, b = 3.4587 Å, c = 30.0741 Å
α = 90.00°, β = 90.00°, γ = 120.00°
Space group R3m (No. 160, hexagonal axes)
Unique sites:
Y1 0.0000 0.0000 0.0000
Sc1 0.0000 0.0000 0.2410
Sb1 0.0000 0.0000 0.5002
Sb2 0.0000 0.0000 0.7482

Properties
- Formation energy without anion corrections: -196 meV/atom
- Uncorrected energy: -5.83 eV per atom
- ΔE to the lowest computed polymorph: 0.886 eV per atom

Record 2
Entry from the Alexandria database: crystalline YScSb2 at its relaxed geometry (GGA-PBEsol).

a = 4.2157 Å, b = 4.2157 Å, c = 20.6403 Å
α = 90.00°, β = 90.00°, γ = 120.00°
Space group R-3m (No. 166, hexagonal axes)
Unique sites:
Y1 0.0000 0.0000 0.0000
Sc1 0.0000 0.0000 0.5000
Sb1 0.0000 0.0000 0.2449

Properties
- Formation energy without anion corrections: -1082 meV/atom
- Uncorrected energy: -6.72 eV per atom
- ΔE to the lowest computed polymorph: 0.000 eV per atom

Record 3
Entry from the Alexandria database: crystalline YSc2Sb at its relaxed geometry (GGA-PBEsol).

a = 7.175 Å, b = 7.175 Å, c = 7.175 Å
α = 90.00°, β = 90.00°, γ = 90.00°
Space group F-43m (No. 216)
Unique sites:
Y1 0.000 0.000 0.000
Sc1 0.000 0.000 0.500
Sc2 0.250 0.250 0.250
Sb1 0.250 0.250 0.750

Properties
- Formation energy without anion corrections: -317 meV/atom
- Uncorrected energy: -6.46 eV per atom

What did the first record say?
Entry from the Alexandria database: crystalline YScSb2 at its relaxed geometry (GGA-PBEsol).

a = 3.4587 Å, b = 3.4587 Å, c = 30.0741 Å
α = 90.00°, β = 90.00°, γ = 120.00°
Space group R3m (No. 160, hexagonal axes)
Unique sites:
Y1 0.0000 0.0000 0.0000
Sc1 0.0000 0.0000 0.2410
Sb1 0.0000 0.0000 0.5002
Sb2 0.0000 0.0000 0.7482

Properties
- Formation energy without anion corrections: -196 meV/atom
- Uncorrected energy: -5.83 eV per atom
- ΔE to the lowest computed polymorph: 0.886 eV per atom

Question: uncorrected energy of number 3 (YSc2Sb)?
Answer: -6.46 eV per atom